1.
Here is a relaxed DyHo2Tm crystal from Alexandria via LeMat-Bulk. Energies are from PBE.

## Properties
Space-group type: R3m
Excess energy over the best structure of this formula in the dataset in meV/atom: 7
Energy of formation in eV per atom: 0.0075

Structure (POSCAR):
```
DyHo2Tm
1.0
-0.8470 2.4560 -2.4052
0.3183 -0.7190 -3.4520
-10.8198 -3.2678 -2.1325
Dy Ho Tm
1 2 1
Direct
0.6664 0.6664 0.0008 Dy
0.0842 0.0842 0.7475 Ho
0.2490 0.2490 0.2529 Ho
0.5004 0.5004 0.4989 Tm
```

=====

2.
Here is a relaxed NaAc4Sn4 crystal from Alexandria via LeMat-Bulk. Energies are from PBE.

## Properties
Space-group type: P4_2/n
Energy of formation in eV per atom: -0.4709

Structure (POSCAR):
```
NaAc4Sn4
1.0
-6.8878 -0.3431 0.3812
0.4474 -9.6217 -0.5757
0.5596 -0.5494 9.6174
Na Ac Sn
2 8 8
Direct
0.0000 0.0000 0.0000 Na
0.5000 0.5000 0.5000 Na
0.3496 0.2840 0.9252 Ac
0.8496 0.5748 0.7840 Ac
0.3496 0.7160 0.0748 Ac
0.1504 0.2160 0.5748 Ac
0.6504 0.9252 0.7160 Ac
0.1504 0.7840 0.4252 Ac
0.8496 0.4252 0.2160 Ac
0.6504 0.0748 0.2840 Ac
0.6623 0.7507 0.3929 Sn
0.6623 0.2493 0.6071 Sn
0.1623 0.8929 0.7493 Sn
0.8377 0.2507 0.8929 Sn
0.8377 0.7493 0.1071 Sn
0.3377 0.3929 0.2493 Sn
0.3377 0.6071 0.7507 Sn
0.1623 0.1071 0.2507 Sn
```

=====

3.
Here is a relaxed Li2Br crystal from Alexandria via LeMat-Bulk. Energies are from PBE.

## Properties
Space-group type: I4/mmm
Formation energy without anion corrections in meV/atom: -745

Structure (POSCAR):
```
Li2Br
1.0
-6.2829 -0.6528 -1.1940
-3.9157 -4.8581 -1.5466
4.6971 2.3322 3.7181
Br Li
1 2
Direct
0.5000 0.5000 0.0000 Br
0.1355 0.1355 0.0000 Li
0.8645 0.8645 0.0000 Li
```

=====

no.,electronic total energy (eV per atom)
1,-4.55
2,-4.22
3,-2.58